This record from the Alexandria database describes a geometry-optimized PrThScTl structure. The functional is GGA-PBE.

Properties
The formation energy is 24 meV per atom. For the magnetization, the calculation gives 0.0 μB/f.u.

```
4
Lattice="-5.418 0.833 -0.497 -3.501 -4.198 0.648 -3.238 -0.223 4.446" Properties=species:S:1:pos:R:3 pbc="T T T"
Pr -9.118 -2.690 3.447
Sc 0.000 0.000 0.000
Tl -6.079 -1.794 2.298
Th -3.039 -0.897 1.149
```